# AcCeErAg

Crystalline AcCeErAg at its relaxed geometry (PBE, Alexandria).

Unit cell a=5.5109 b=5.5109 c=5.5109 alpha=60.00 beta=60.00 gamma=60.00
Last column: nearest neighbours and their distance in Å.
Fractional coordinates of all 4 atoms:
Er 0.0000 0.0000 0.0000  4 Ac 3.37, 4 Ag 3.37
Ac 0.2500 0.2500 0.2500  4 Ce 3.37, 4 Er 3.37
Ce 0.5000 0.5000 0.5000  4 Ag 3.37, 4 Ac 3.37
Ag 0.7500 0.7500 0.7500  4 Ce 3.37, 4 Er 3.37

Theoretical density in Mg/m³: 9.012
Formation energy from the elements in eV/atom: 0.222
E in eV/f.u.: -16.57
Space group: F-43m (216)

# AcCeGaAg

Crystalline AcCeGaAg at its relaxed geometry (PBE, Alexandria).

Unit cell a=5.4208 b=5.4208 c=5.4208 alpha=60.00 beta=60.00 gamma=60.00
Last column: nearest neighbours and their distance in Å.
Fractional coordinates of all 4 atoms:
Ag 0.7500 0.7500 0.7500  4 Ac 3.32, 4 Ce 3.32
Ga 0.2500 0.2500 0.2500  4 Ac 3.32, 4 Ce 3.32
Ce 0.5000 0.5000 0.5000  4 Ag 3.32, 4 Ga 3.32
Ac 0.0000 0.0000 0.0000  4 Ga 3.32, 4 Ag 3.32

Theoretical density in Mg/m³: 8.030
Formation energy from the elements in eV/atom: -0.262
E in eV/f.u.: -16.97
Space group: F-43m (216)